Record 1
Compound: Ho2TaGa2
Source: OQMD
Functional: PBE
Structure: relaxed

a = 7.2110 Å, b = 7.2110 Å, c = 4.1879 Å
α = 90.00°, β = 90.00°, γ = 90.00°
Positions (direct):
Ta 0.0000 0.0000 0.0000
Ta 0.5000 0.5000 0.0000
Ga 0.1288 0.3712 0.0000
Ho 0.6773 0.8227 0.5000
Ho 0.8227 0.3227 0.5000
Ga 0.8712 0.6288 0.0000
Ho 0.1773 0.6773 0.5000
Ho 0.3227 0.1773 0.5000
Ga 0.3712 0.8712 0.0000
Ga 0.6288 0.1288 0.0000

Results
- total DFT energy (no corrections) (eV for the cell shown) = -56.75
- space-group type = P4/mbm (127)

***

Record 2
Compound: NdZn
Source: OQMD
Functional: PBE
Structure: relaxed

a = 4.3321 Å, b = 4.3321 Å, c = 4.3321 Å
α = 60.00°, β = 60.00°, γ = 60.00°
Positions (direct):
Zn 0.5000 0.5000 0.5000
Nd 0.0000 0.0000 0.0000

Results
- energy relative to the elements (eV/f.u.) = 0.0
- space-group type = Fm-3m (225)

***

Record 3
Compound: PrGd2Mg3Al2Cd
Source: OQMD
Functional: PBE
Structure: relaxed

a = 4.6242 Å, b = 7.5448 Å, c = 7.5448 Å
α = 120.66°, β = 90.00°, γ = 90.00°
Positions (direct):
Gd 0.0000 0.0019 0.5742
Mg 0.5000 0.9995 0.2448
Al 0.5000 0.3329 0.6715
Al 0.5000 0.6715 0.3329
Cd 0.0000 0.9934 0.9934
Mg 0.5000 0.7544 0.7544
Pr 0.0000 0.4274 0.4274
Mg 0.5000 0.2448 0.9995
Gd 0.0000 0.5742 0.0019

Results
- total DFT energy (no corrections) (eV for the cell shown) = -29.99
- space-group type = Amm2 (38)